The following is a DFT calculation (PBE-GGA) of an optimized crystal structure of TePt2W.

Summary:
total DFT energy (no corrections) = -54.9 eV/cell
DOS at the Fermi energy = 0.51 states/eV/atom
magnetic moment = 0.0000 μB per atom
uncorrected formation energy = 0.18 eV per atom

Cell lengths 2.836, 4.052, 14.233 Å; angles 90.00, 90.00, 90.00 degrees
Space group Imm2 (No. 44)
Inequivalent atoms, fractional coordinates:
1 Te 0.000 0.000 0.000
2 Pt 0.000 0.000 0.367
3 Pt 0.000 0.500 0.142
4 W 0.000 0.500 0.716